No. 1
# Re3Tc2Ru4 PBE-GGA optimized geometry
# N(E_F), states/eV/cell: 30.47
# Mass density, Mg/m³: 14.5
# Energy relative to the elements, eV/f.u.: 1.464
# M_tot, Bohr magnetons per cell: 0.00
data_Re3Tc2Ru4
_chemical_formula_sum 'Re12 Tc8 Ru16'
_cell_length_a 12.9935
_cell_length_b 7.7165
_cell_length_c 5.2970
_cell_angle_alpha 90.00
_cell_angle_beta 93.09
_cell_angle_gamma 90.00
_space_group_name_H-M_alt 'C 1 2/c 1'
_space_group_IT_number 15
loop_
_space_group_symop_operation_xyz
'x,y,z'
'-x,-y,-z'
'-x,y,-z+1/2'
'x,-y,z+1/2'
'x+1/2,y+1/2,z'
'-x+1/2,-y+1/2,-z'
'-x+1/2,y+1/2,-z+1/2'
'x+1/2,-y+1/2,z+1/2'
loop_
_atom_site_label
_atom_site_type_symbol
_atom_site_fract_x
_atom_site_fract_y
_atom_site_fract_z
Re1 Re 0.0000 0.0029 0.2500
Re2 Re 0.1538 0.4526 0.7315
Tc1 Tc 0.1674 0.2132 0.3710
Ru1 Ru 0.0181 0.3229 0.0096
Ru2 Ru 0.1841 0.1259 0.9011

=====

No. 2
# La3PbN PBE-GGA optimized geometry
# N(E_F), states/eV/cell: 19.69
# Formation energy (no corrections), meV per atom: -740
# Mass density, Mg/m³: 7.3
# M_tot, Bohr magnetons per cell: 0.00
data_La3PbN
_chemical_formula_sum 'La12 Pb4 N4'
_cell_length_a 9.0211
_cell_length_b 6.9659
_cell_length_c 11.7393
_cell_angle_alpha 90.00
_cell_angle_beta 128.40
_cell_angle_gamma 90.00
_space_group_name_H-M_alt 'P 1 21/c 1'
_space_group_IT_number 14
loop_
_space_group_symop_operation_xyz
'x,y,z'
'-x,-y,-z'
'-x,y+1/2,-z+1/2'
'x,-y+1/2,z+1/2'
loop_
_atom_site_label
_atom_site_type_symbol
_atom_site_fract_x
_atom_site_fract_y
_atom_site_fract_z
La1 La 0.0275 0.0113 0.2597
La2 La 0.2768 0.2312 0.6518
La3 La 0.4472 0.7166 0.4566
Pb1 Pb 0.2098 0.7385 0.5922
N1 N 0.2453 0.1927 0.8325

=====

No. 3
# CaSmMgSn PBE-GGA optimized geometry
# N(E_F), states/eV/cell: 13.09
# Mass density, Mg/m³: 4.9
# Energy relative to the elements, eV/f.u.: -1.596
# M_tot, Bohr magnetons per cell: 0.00
data_CaSmMgSn
_chemical_formula_sum 'Ca4 Sm4 Mg4 Sn4'
_cell_length_a 7.6548
_cell_length_b 7.6548
_cell_length_c 7.6548
_cell_angle_alpha 90.00
_cell_angle_beta 90.00
_cell_angle_gamma 90.00
_space_group_name_H-M_alt 'F -4 3 m'
_space_group_IT_number 216
_space_group_name_Hall 'F -4 2 3'
loop_
_atom_site_label
_atom_site_type_symbol
_atom_site_fract_x
_atom_site_fract_y
_atom_site_fract_z
Ca1 Ca 0.0000 0.0000 0.0000
Sm1 Sm 0.0000 0.0000 0.5000
Mg1 Mg 0.2500 0.2500 0.2500
Sn1 Sn 0.2500 0.2500 0.7500